Entry 1:
Mg3ScRu (PBE, optimized geometry); density of states at the Fermi level = 6.19 states/eV per cell; E above lowest polymorph = 0 meV/atom; space-group type = Pm-3m; total magnetization = 0.0 μB per formula unit
1.0
-0.456 0.976 -4.770
-4.554 -1.780 0.071
-1.722 4.449 1.074
Ru Mg Sc
1 3 1
Cartesian
0.000 0.000 0.000 Ru
-2.277 -0.890 0.036 Mg
-0.861 2.225 0.537 Mg
-0.228 0.488 -2.385 Mg
-3.366 1.823 -1.812 Sc

=====

Entry 2:
HfSnGe3 (PBE, optimized geometry); density of states at the Fermi level = 3.56 states/eV per cell; E above lowest polymorph = 0 meV/atom; space-group type = Pm-3m; total magnetization = 0.0 μB per formula unit
1.0
-0.066 -4.215 -2.995
5.000 -0.815 1.036
-1.316 -2.883 4.086
Ge Sn Hf
3 1 1
Cartesian
-0.033 -2.107 -1.497 Ge
-0.658 -1.441 2.043 Ge
2.500 -0.407 0.518 Ge
1.809 -3.956 1.064 Sn
0.000 0.000 0.000 Hf

=====

Entry 3:
PmEuBiTe (PBE, optimized geometry); density of states at the Fermi level = 3.36 states/eV per cell; space-group type = F-43m; total magnetization = 7.0 μB per formula unit; formation energy from raw total energies = -23.085 kcal/mol of atoms
1.0
-5.311 1.507 -1.012
-2.448 -1.429 -4.845
-4.055 -3.880 -0.058
Te Bi Pm Eu
1 1 1 1
Cartesian
-8.861 -2.851 -4.436 Te
-2.954 -0.950 -1.479 Bi
-5.907 -1.901 -2.958 Pm
0.000 0.000 0.000 Eu

=====

Entry 4:
CaNiPb2 (PBE, optimized geometry); density of states at the Fermi level = 7.52 states/eV per cell; space-group type = I-42d; total magnetization = 0.0 μB per formula unit; calculated total energy = -0.2692 Ry/atom
1.0
4.975 0.000 0.000
0.000 4.975 0.000
2.488 2.488 9.273
Ca Ni Pb
2 2 4
Cartesian
2.488 2.488 0.000 Ca
2.488 4.975 4.636 Ca
4.975 2.488 4.636 Ni
0.000 0.000 0.000 Ni
4.132 1.244 2.318 Pb
3.731 3.331 6.955 Pb
0.843 3.731 2.318 Pb
6.219 6.619 6.955 Pb

=====

Entry 5:
Th4NiSe5 (PBE, optimized geometry); density of states at the Fermi level = 5.46 states/eV per cell; space-group type = C2/m; total magnetization = 0.0 μB per formula unit; formation energy from raw total energies = -31.088 kcal/mol of atoms
1.0
4.153 0.000 0.000
0.000 8.195 -0.679
-2.076 -1.900 9.132
Th Se Ni
4 5 1
Cartesian
0.000 5.932 5.439 Th
2.076 0.009 8.955 Th
2.076 0.363 3.015 Th
0.000 6.286 -0.501 Th
0.000 2.328 2.755 Se
2.076 3.967 5.699 Se
2.076 -0.122 5.963 Se
2.076 4.098 -0.339 Se
0.000 6.416 2.491 Se
2.076 0.000 0.000 Ni

=====

Entry 6:
SrCuHg2Bi (PBE, optimized geometry); density of states at the Fermi level = 1.67 states/eV per cell; space-group type = P4/mmm; total magnetization = 0.0 μB per formula unit; calculated total energy = -0.1663 Ry/atom
1.0
5.105 0.000 0.000
0.000 5.105 0.000
0.000 0.000 5.529
Sr Bi Hg Cu
1 1 2 1
Cartesian
2.552 2.552 2.765 Sr
0.000 0.000 2.765 Bi
0.000 2.552 0.000 Hg
2.552 0.000 0.000 Hg
0.000 0.000 0.000 Cu

=====

Entry 7:
Si2BI (PBE, optimized geometry); density of states at the Fermi level = 1.46 states/eV per cell; E above lowest polymorph = 22 meV/atom; space-group type = P2/m; total magnetization = 0.0 μB per formula unit; formation energy from raw total energies = 10.101 kcal/mol of atoms
1.0
-0.575 -2.897 3.366
1.967 -2.123 -1.491
5.161 3.201 2.252
Si I B
2 1 1
Cartesian
2.076 0.696 1.748 Si
2.510 -0.392 3.869 Si
0.000 0.000 0.000 I
3.277 -0.909 2.063 B

=====

Entry 8:
VGaMo (PBE, optimized geometry); density of states at the Fermi level = 1.31 states/eV per cell; E above lowest polymorph = 0 meV/atom; space-group type = I4mm; total magnetization = 0.0 μB per formula unit
1.0
-1.385 1.004 -2.751
-2.735 -1.531 0.819
0.698 3.744 2.922
Mo V Ga
1 1 1
Cartesian
-0.795 2.031 1.141 Mo
-3.267 2.820 0.767 V
-2.374 0.539 -0.515 Ga

=====

Entry 9:
Ac6Ir3BrCl2 (PBE, optimized geometry); density of states at the Fermi level = 2.83 states/eV per cell; space-group type = C2/m; total magnetization = 0.0 μB per formula unit; formation energy from raw total energies = -28.997 kcal/mol of atoms
1.0
4.349 0.000 0.000
0.000 9.508 -0.212
-2.174 -3.323 9.672
Ac Ir Cl Br
6 3 2 1
Cartesian
2.174 4.763 2.891 Ac
0.000 6.762 0.069 Ac
2.174 -0.577 9.391 Ac
0.000 6.855 6.017 Ac
2.174 -0.669 3.443 Ac
0.000 1.422 6.568 Ac
2.174 4.754 -0.106 Ir
0.000 6.800 3.049 Ir
2.174 -0.615 6.411 Ir
2.174 4.129 6.306 Cl
0.000 2.057 3.154 Cl
2.174 0.000 0.000 Br

=====

Entry 10:
TlZnP2 (PBE, optimized geometry); density of states at the Fermi level = 2.55 states/eV per cell; E above lowest polymorph = 534 meV/atom; space-group type = Fm-3m; total magnetization = 0.0 μB per formula unit
1.0
0.000 3.382 3.382
3.382 0.000 3.382
3.382 3.382 0.000
Tl P Zn
1 2 1
Cartesian
3.382 3.382 3.382 Tl
5.073 5.073 5.073 P
1.691 1.691 1.691 P
0.000 0.000 0.000 Zn

=====

Entry 11:
Li2TbZn2Si2 (PBE, optimized geometry); density of states at the Fermi level = 1.07 states/eV per cell; space-group type = R-3m; total magnetization = 0.0 μB per formula unit; formation energy from raw total energies = -10.453 kcal/mol of atoms
1.0
4.161 0.000 0.000
2.081 3.604 0.000
2.081 1.201 7.886
Li Zn Tb Si
2 2 1 2
Cartesian
2.081 1.201 4.531 Li
6.242 3.604 3.355 Li
4.161 2.402 2.188 Zn
4.161 2.402 5.699 Zn
0.000 0.000 0.000 Tb
2.081 1.201 1.838 Si
6.242 3.604 6.048 Si

=====

Entry 12:
Ba2LaSn3Hg12 (PBE, optimized geometry); density of states at the Fermi level = 8.87 states/eV per cell; space-group type = R-3m; total magnetization = 0.0 μB per formula unit; calculated total energy = -0.1039 Ry/atom
1.0
8.930 -0.832 -0.590
3.687 8.176 -0.590
3.687 2.146 7.911
Hg Sn Ba La
12 3 2 1
Cartesian
12.031 4.194 5.951 Hg
12.031 7.003 1.990 Hg
6.700 7.090 5.029 Hg
4.272 2.487 4.741 Hg
6.830 3.976 6.200 Hg
9.604 2.400 1.703 Hg
6.830 7.166 1.703 Hg
4.272 5.296 0.780 Hg
9.588 8.391 5.951 Hg
6.715 1.099 0.780 Hg
9.473 2.324 5.029 Hg
9.473 5.514 0.531 Hg
1.843 1.073 3.955 Sn
1.843 4.088 -0.295 Sn
4.465 -0.416 -0.295 Sn
9.709 5.651 4.008 Ba
6.595 3.839 2.723 Ba
0.000 0.000 0.000 La

=====

Entry 13:
RbTePtW (PBE, optimized geometry); density of states at the Fermi level = 8.44 states/eV per cell; E above lowest polymorph = 97 meV/atom; space-group type = R3m; total magnetization = 0.0 μB per formula unit; formation energy from raw total energies = 4.286 kcal/mol of atoms
1.0
-0.243 3.349 -1.665
-0.411 -3.131 -2.019
-26.349 0.427 4.697
Rb Pt W Te
3 3 3 3
Cartesian
-26.170 -0.553 2.701 Rb
-17.331 1.465 1.253 Rb
-8.249 0.134 1.471 Rb
-11.263 -0.794 0.044 Pt
-2.424 1.223 -1.404 Pt
-19.691 0.319 3.510 Pt
-12.546 1.387 0.400 W
-21.385 -0.630 1.848 W
-3.464 0.056 0.618 W
-22.809 0.369 4.066 Te
-5.541 1.274 -0.848 Te
-14.380 -0.744 0.599 Te

=====

Entry 14:
Nb4GaIr5 (PBE, optimized geometry); density of states at the Fermi level = 9.01 states/eV per cell; space-group type = Pmmm; total magnetization = 0.0 μB per formula unit; calculated total energy = -0.6800 Ry/atom
1.0
3.848 0.000 0.000
0.000 2.876 0.000
0.000 0.000 14.383
Ir Nb Ga
5 4 1
Cartesian
1.924 1.438 1.379 Ir
1.924 1.438 7.191 Ir
1.924 1.438 4.302 Ir
1.924 1.438 10.081 Ir
1.924 1.438 13.004 Ir
0.000 0.000 11.542 Nb
0.000 0.000 2.840 Nb
0.000 0.000 5.767 Nb
0.000 0.000 8.615 Nb
0.000 0.000 0.000 Ga

=====

Entry 15:
Np2Ga5Br12 (PBE, optimized geometry); density of states at the Fermi level = 12.05 states/eV per cell; space-group type = C2/m; total magnetization = 7.0 μB per formula unit; formation energy from raw total energies = -19.703 kcal/mol of atoms
1.0
-7.736 -1.795 -2.656
3.284 -9.461 -3.171
1.160 0.426 9.534
Br Ga Np
12 5 2
Cartesian
-6.332 -2.406 0.470 Br
-5.947 -3.113 6.224 Br
3.039 -8.424 3.237 Br
-0.710 -9.294 1.950 Br
1.461 -4.148 5.128 Br
-4.754 -6.683 -1.421 Br
-0.897 -5.788 -0.097 Br
-2.583 -1.537 1.757 Br
-2.396 -5.043 3.804 Br
-3.250 -2.712 -1.904 Br
-0.043 -8.118 5.611 Br
2.655 -7.717 -2.517 Br
-2.391 -8.114 -0.756 Ga
-0.902 -2.717 4.463 Ga
1.642 -4.731 -1.585 Ga
-3.872 -4.681 1.240 Ga
0.579 -6.149 2.467 Ga
-5.791 -1.344 -1.988 Np
-1.945 -0.451 -0.668 Np

=====

Entry 16:
PmSmGa (PBE, optimized geometry); density of states at the Fermi level = 9.92 states/eV per cell; E above lowest polymorph = 0 meV/atom; space-group type = P-62m; total magnetization = 0.0 μB per formula unit
1.0
4.485 0.000 0.000
0.000 6.969 -4.024
0.000 0.000 8.047
Sm Pm Ga
3 3 3
Cartesian
0.000 6.969 -1.867 Sm
0.000 5.102 2.945 Sm
0.000 1.868 -1.078 Sm
2.243 0.000 4.789 Pm
2.243 4.147 -2.395 Pm
2.243 2.822 1.629 Pm
2.243 6.969 -4.024 Ga
0.000 2.323 4.024 Ga
0.000 4.646 0.000 Ga

=====

Entry 17:
Ce2ZnCuS5 (PBE, optimized geometry); density of states at the Fermi level = 17.55 states/eV per cell; space-group type = Cmc2_1; total magnetization = 1.0 μB per formula unit; formation energy from raw total energies = -30.380 kcal/mol of atoms
1.0
-1.554 -1.297 -3.345
8.249 0.871 -1.885
1.866 -10.632 3.254
S Ce Zn Cu
10 4 2 2
Cartesian
2.613 -2.201 -2.646 S
8.908 -8.051 -1.018 S
7.118 -6.422 -3.104 S
3.596 -9.438 -0.298 S
5.592 -6.831 0.049 S
-0.241 -3.605 -0.776 S
7.260 -10.372 0.646 S
5.281 -3.419 -1.129 S
0.742 -0.643 -0.095 S
2.199 -5.804 -1.057 S
2.998 -7.213 1.403 Ce
5.314 -2.426 -3.814 Ce
2.473 -3.071 0.042 Ce
6.254 -8.928 -1.731 Ce
2.119 -10.839 0.931 Zn
7.232 -4.717 -1.532 Zn
4.190 -6.533 -1.700 Cu
3.679 -0.579 -1.485 Cu

=====

Entry 18:
TcPH2 (PBE, optimized geometry); density of states at the Fermi level = 0.62 states/eV per cell; E above lowest polymorph = 0 meV/atom; space-group type = P1; total magnetization = 0.0 μB per formula unit
1.0
-1.857 1.580 1.977
-2.502 -0.773 -1.734
1.696 -3.481 1.910
H P Tc
2 1 1
Cartesian
0.072 -0.735 1.133 H
-0.757 -3.169 0.114 H
-2.080 0.646 0.783 P
-1.389 -1.675 0.822 Tc

=====

Entry 19:
Zn2OF (PBE, optimized geometry); density of states at the Fermi level = 1.21 states/eV per cell; E above lowest polymorph = 511 meV/atom; space-group type = Fm-3m; total magnetization = 0.0 μB per formula unit; formation energy from raw total energies = -18.617 kcal/mol of atoms
1.0
-1.727 -0.248 3.590
-3.204 2.231 0.832
-3.584 -1.716 0.376
Zn F O
2 1 1
Cartesian
-6.387 0.200 3.599 Zn
-2.129 0.067 1.200 Zn
-4.258 0.133 2.399 F
0.000 0.000 0.000 O

=====

Entry 20:
Rb2FeAsBr (PBE, optimized geometry); density of states at the Fermi level = 13.82 states/eV per cell; space-group type = P4/mmm; total magnetization = 4.1 μB per formula unit; formation energy from raw total energies = 11.662 kcal/mol of atoms
1.0
-6.137 -0.246 2.000
1.608 -2.228 4.660
0.611 5.881 2.601
As Rb Br Fe
1 2 1 1
Cartesian
0.804 -1.114 2.330 As
0.306 2.941 1.300 Rb
-3.069 -0.123 1.000 Rb
0.000 0.000 0.000 Br
-1.959 1.704 4.630 Fe